Material: NiPd3F
Method: DFT, GGA+U
State: optimized geometry

Results
**E**: -16.64 eV per cell
**Total magnetic moment**: 1.75 μB per cell

```
data_NiPd3F
_cell_length_a 4.309
_cell_length_b 4.309
_cell_length_c 4.309
_cell_angle_alpha 90.00
_cell_angle_beta 90.00
_cell_angle_gamma 90.00
_space_group_name_H-M_alt 'P 1'
_space_group_IT_number 1
loop_
_space_group_symop_operation_xyz
'x,y,z'
loop_
_atom_site_label
_atom_site_type_symbol
_atom_site_fract_x
_atom_site_fract_y
_atom_site_fract_z
_atom_site_occupancy
Ni1 Ni 0.000 0.000 0.000 1
Pd1 Pd 0.000 0.500 0.500 1
Pd2 Pd 0.500 0.000 0.500 1
Pd3 Pd 0.500 0.500 0.000 1
F1 F 0.500 0.500 0.500 1
```